# 1
Compound: NaAcCuHg
Source: Alexandria via LeMat-Bulk
Functional: PBE-GGA
Structure: optimized geometry

abc: 5.3498 5.3498 5.3498
angles: 60.00 60.00 60.00
Positions (direct):
Na (0.2500, 0.2500, 0.2500)
Ac (0.7500, 0.7500, 0.7500)
Hg (0.5000, 0.5000, 0.5000)
Cu (0.0000, 0.0000, 0.0000)

The total DFT energy (no corrections) comes out at -2.57 eV per atom.

# 2
Compound: NaAc4Tl5
Source: Alexandria via LeMat-Bulk
Functional: PBE-GGA
Structure: optimized geometry

abc: 3.9382 3.9382 21.6057
angles: 90.00 90.00 90.00
Positions (direct):
Na (0.0000, 0.0000, 0.0000)
Ac (0.0000, 0.0000, 0.1850)
Ac (0.0000, 0.0000, 0.3949)
Ac (0.0000, 0.0000, 0.6051)
Ac (0.0000, 0.0000, 0.8150)
Tl (0.5000, 0.5000, 0.0819)
Tl (0.5000, 0.5000, 0.2897)
Tl (0.5000, 0.5000, 0.5000)
Tl (0.5000, 0.5000, 0.7103)
Tl (0.5000, 0.5000, 0.9181)

The total DFT energy (no corrections) comes out at -3.27 eV per atom.

# 3
Compound: PmGa2Pt4
Source: Alexandria via LeMat-Bulk
Functional: PBE-GGA
Structure: optimized geometry

abc: 4.2261 7.2648 16.4973
angles: 90.00 90.00 90.00
Positions (direct):
Pt (0.2500, 0.1860, 0.7141)
Pt (0.7500, 0.8140, 0.2859)
Pt (0.7500, 0.6860, 0.7859)
Pt (0.2500, 0.3140, 0.2141)
Pt (0.2500, 0.6034, 0.6715)
Pt (0.7500, 0.3966, 0.3285)
Pt (0.7500, 0.1034, 0.8285)
Pt (0.2500, 0.8966, 0.1715)
Pt (0.2500, 0.1040, 0.5429)
Pt (0.7500, 0.8960, 0.4571)
Pt (0.7500, 0.6040, 0.9571)
Pt (0.2500, 0.3960, 0.0429)
Pt (0.2500, 0.4461, 0.4460)
Pt (0.7500, 0.5539, 0.5540)
Pt (0.7500, 0.9461, 0.0540)
Pt (0.2500, 0.0539, 0.9460)
Ga (0.2500, 0.7499, 0.5233)
Ga (0.7500, 0.2501, 0.4767)
Ga (0.7500, 0.2499, 0.9767)
Ga (0.2500, 0.7501, 0.0233)
Ga (0.2500, 0.8852, 0.8083)
Ga (0.7500, 0.1148, 0.1917)
Ga (0.7500, 0.3852, 0.6917)
Ga (0.2500, 0.6148, 0.3083)
Pm (0.7500, 0.9366, 0.6476)
Pm (0.2500, 0.0634, 0.3524)
Pm (0.2500, 0.4366, 0.8524)
Pm (0.7500, 0.5634, 0.1476)

The total DFT energy (no corrections) comes out at -5.79 eV per atom.

# 4
Compound: Hf3ZrZn
Source: Alexandria via LeMat-Bulk
Functional: PBE-GGA
Structure: optimized geometry

abc: 4.8883 3.2201 7.4407
angles: 102.50 109.18 90.00
Positions (direct):
Hf (0.8522, 0.3522, 0.7044)
Hf (0.4276, 0.9276, 0.8551)
Hf (0.2314, 0.2314, 0.4627)
Zr (0.6327, 0.6327, 0.2654)
Zn (0.0332, 0.0332, 0.0663)

The total DFT energy (no corrections) comes out at -7.88 eV per atom.

# 5
Compound: LiPuMnGe
Source: Alexandria via LeMat-Bulk
Functional: PBE-GGA
Structure: optimized geometry

abc: 4.4494 4.4494 4.4494
angles: 60.00 60.00 60.00
Positions (direct):
Ge (0.0000, 0.0000, 0.0000)
Mn (0.7500, 0.7500, 0.7500)
Li (0.2500, 0.2500, 0.2500)
Pu (0.5000, 0.5000, 0.5000)

The total DFT energy (no corrections) comes out at -7.46 eV per atom.

# 6
Compound: ZrCo2MoPt
Source: Alexandria via LeMat-Bulk
Functional: PBE-GGA
Structure: optimized geometry

abc: 4.5467 4.7731 4.5467
angles: 90.00 90.00 90.00
Positions (direct):
Mo (0.0000, 0.5000, 0.0000)
Co (0.0000, 0.0000, 0.5000)
Co (0.5000, 0.0000, 0.0000)
Zr (0.5000, 0.5000, 0.5000)
Pt (0.0000, 0.0000, 0.0000)

The total DFT energy (no corrections) comes out at -6.86 eV per atom.

| no. | E_form (eV per atom) |
| --- | --- |
| 1 | -0.1119 |
| 2 | -0.3116 |
| 3 | -0.7957 |
| 4 | 0.0576 |
| 5 | 0.0450 |
| 6 | 1.0669 |